A relaxed structure of Nd7In2Ag2, computed with GGA-PBE.

Results
magnetic moment	0.0	μB per cell
N(E_F)	15.59	states/eV/cell
DFT formation energy	-0.033	eV/atom

Unit cell a=7.0872 b=7.5521 c=7.0872 alpha=90.00 beta=108.09 gamma=90.00
Atoms (fractional coordinates):
Nd 0.5000 0.7412 0.5000
Nd 0.0000 0.0000 0.0000
Nd 0.5001 0.7245 0.0000
Ag 0.7123 0.0000 0.2877
Nd 0.4999 0.2755 0.0000
In 0.1703 0.5000 0.1703
Nd 0.0000 0.7245 0.4999
Nd 0.0000 0.2755 0.5001
Ag 0.2877 0.0000 0.7123
In 0.8297 0.5000 0.8297
Nd 0.5000 0.2588 0.5000